4
Lattice="3.1207 0.0000 0.0000 0.0000 3.2604 -0.0021 0.0000 3.2639 5.3548" Properties=species:S:1:pos:R:3 comment="LiSi2W, optimized geometry, DFT PBE" e_form_raw_kcal_per_mol_atoms=-1.4 de_polymorph_mev_per_atom=0.0 dos_ef_per_ev_atom=0.5115 pbc="T T T"
Li 1.5604 4.8932 4.0146
Si 0.0000 3.2621 2.6986
Si 0.0000 3.2640 5.3326
W 1.5604 1.6311 1.3382

***

20
Lattice="-5.1094 3.7035 0.3084 -4.8898 -1.6124 -7.9090 -6.4528 -4.8357 4.9030" Properties=species:S:1:pos:R:3 comment="MnSi2AgSe6, optimized geometry, DFT PBE" e_form_raw_kcal_per_mol_atoms=-6.2 dos_ef_per_ev_atom=0.3659 pbc="T T T"
Si -12.1037 -1.9965 -0.8717
Si -7.1536 0.5869 0.3821
Si -9.2985 -3.3315 -3.0797
Si -4.3483 -0.7481 -1.8259
Se -4.1031 -1.0764 -4.0965
Se -2.9655 0.9968 -1.2043
Se -13.4865 -3.7414 -1.4933
Se -7.4103 -0.7764 2.2258
Se -12.2086 -0.2676 -2.4034
Se -10.6844 -5.0829 -3.6756
Se -4.2435 -2.4771 -0.2942
Se -9.8455 -2.5144 -0.9870
Se -9.0418 -1.9682 -4.9234
Se -6.6066 -0.2302 -1.7106
Se -12.3490 -1.6683 1.3989
Se -5.7676 2.3383 0.9779
Ag -6.4866 -1.3452 -5.2138
Ag -9.9655 -1.3994 2.5162
Mn -7.4066 -3.2426 2.3279
Mn -9.0454 0.4979 -5.0255